1.
Material: LiPtCl2
Method: DFT, GGA-PBE
State: optimized geometry

The uncorrected formation energy comes out at -48.80 kJ per mole of atoms. The total DFT energy (no corrections) comes out at -3.42 eV/atom.

It has space group Immm (No. 71), with a = 3.6967 Å, b = 6.7898 Å, c = 6.9591 Å, α = 90.00°, β = 90.00° and γ = 90.00°. The distinct sites, in fractional coordinates, are Li at (0.0000, 0.0000, 0.0000), Pt at (0.0000, 0.5000, 0.0000) and Cl at (0.0000, 0.2405, 0.5000).

=====

2.
Material: Ce9Al2Tl
Method: DFT, GGA-PBE
State: optimized geometry

The total DFT energy (no corrections) comes out at -5.42 eV/atom. The value obtained for the formation energy is -1.73 eV per formula unit.

It has space group P4/mmm (No. 123), with a = 4.7200 Å, b = 4.7200 Å, c = 14.1988 Å, α = 90.00°, β = 90.00° and γ = 90.00°. The distinct sites, in fractional coordinates, are Ce at (0.0000, 0.0000, 0.0000), Ce at (0.0000, 0.0000, 0.3378), Ce at (0.0000, 0.5000, 0.1752), Ce at (0.0000, 0.5000, 0.5000), Al at (0.5000, 0.5000, 0.3363) and Tl at (0.5000, 0.5000, 0.0000).

=====

3.
Material: Ag3Te4As
Method: DFT, GGA-PBE
State: optimized geometry

The uncorrected formation energy comes out at -0.90 kJ per mole of atoms. The total DFT energy (no corrections) comes out at -3.23 eV/atom.

It has space group P2/c (No. 13), with a = 7.2205 Å, b = 8.2434 Å, c = 7.2575 Å, α = 90.00°, β = 109.28° and γ = 90.00°. The distinct sites, in fractional coordinates, are Ag at (0.0000, 0.1224, 0.2500), Ag at (0.0000, 0.3725, 0.7500), Ag at (0.5000, 0.3759, 0.2500), Te at (0.2441, 0.3726, 0.5108), Te at (0.2574, 0.1234, 0.0015) and As at (0.5000, 0.1246, 0.7500).

=====

4.
Material: Rb3YV
Method: DFT, GGA-PBE
State: optimized geometry

The total DFT energy (no corrections) comes out at -2.07 eV/atom. The value obtained for the formation energy is 8.15 eV per formula unit.

It has space group Pm-3m (No. 221), with a = 7.2565 Å, b = 7.2565 Å, c = 7.2565 Å, α = 90.00°, β = 90.00° and γ = 90.00°. The distinct sites, in fractional coordinates, are Rb at (0.0000, 0.0000, 0.5000), Y at (0.0000, 0.0000, 0.0000) and V at (0.5000, 0.5000, 0.5000).

=====

5.
Material: CaNp6O12
Method: DFT, GGA-PBE
State: optimized geometry

The uncorrected formation energy comes out at -290.68 kJ per mole of atoms. The total DFT energy (no corrections) comes out at -10.34 eV/atom.

It has space group R-3 (No. 148, hexagonal axes), with a = 10.1836 Å, b = 10.1836 Å, c = 9.2781 Å, α = 90.00°, β = 90.00° and γ = 120.00°. The distinct sites, in fractional coordinates, are Ca at (0.0000, 0.0000, 0.0000), Np at (0.0489, 0.7928, 0.6584), O at (0.0381, 0.8165, 0.3992) and O at (0.0408, 0.8155, 0.8968).

=====

6.
Material: AcTlSn2Br8
Method: DFT, GGA-PBE
State: optimized geometry

The uncorrected formation energy comes out at -113.93 kJ per mole of atoms. The total DFT energy (no corrections) comes out at -3.50 eV/atom.

It has space group P-1 (No. 2), with a = 6.9680 Å, b = 7.4062 Å, c = 9.4626 Å, α = 87.35°, β = 87.68° and γ = 88.89°. The distinct sites, in fractional coordinates, are Ac at (0.0000, 0.0000, 0.0000), Tl at (0.0000, 0.0000, 0.5000), Sn at (0.4960, 0.4916, 0.7409), Br at (0.2389, 0.8237, 0.7663), Br at (0.2553, 0.3356, 0.9754), Br at (0.2598, 0.8490, 0.2304) and Br at (0.2749, 0.3604, 0.5356).